A plane-wave DFT calculation with PBE-GGA was carried out for a geometry-optimized La2CuSbF structure.

Cell: 5.5663 4.2530 5.5663 Å, 90.00 90.00 90.00°
Closest atoms and distances in Å follow each position.
Element x y z (fractional)
Cu 0.0000 0.0000 0.0000  2 F 2.13
Sb 0.5000 0.5000 0.5000  8 La 3.50
La 0.0000 0.0000 0.5000  2 Cu 2.78
La 0.5000 0.0000 0.0000  2 Cu 2.78
F 0.0000 0.5000 0.0000  2 Cu 2.13

Values from the calculation:
DOS(E_F) in states/eV/f.u.: 4.72
Magnetic moment in μB per cell: 0.00
SG: P4/mmm (123)
Uncorrected formation energy in eV/atom: -0.823
Polymorph energy (0 for the lowest one) in meV per atom: 45

=====

A plane-wave DFT calculation with PBE-GGA was carried out for a geometry-optimized KAl2Tc structure.

Cell: 2.7840 4.0698 8.0708 Å, 90.00 90.00 90.00°
Closest atoms and distances in Å follow each position.
Element x y z (fractional)
Al 0.5000 0.5000 0.1708  1 Tc 2.51, 2 Al 2.78
Al 0.0000 0.0000 0.9536  4 Tc 2.58, 2 Al 2.78
Tc 0.5000 0.5000 0.8595  5 Al 2.51-2.58, 2 Tc 2.78
K 0.0000 0.0000 0.5161  2 K 2.78

Values from the calculation:
DOS(E_F) in states/eV/f.u.: 2.90
Magnetic moment in μB per cell: 0.00
Energy of formation from the pure elements in eV/atom: 0.30
SG: Pmm2 (25)
Polymorph energy (0 for the lowest one) in meV per atom: 217

=====

A plane-wave DFT calculation with PBE-GGA was carried out for a geometry-optimized LaY2MgRh structure.

Cell: 5.3234 5.3234 5.2763 Å, 90.00 90.00 90.00°
Closest atoms and distances in Å follow each position.
Element x y z (fractional)
Y 0.0000 0.5000 0.0000  2 Rh 2.66
Y 0.5000 0.0000 0.0000  2 Rh 2.66
Mg 0.0000 0.0000 0.5000  2 Rh 2.64
Rh 0.0000 0.0000 0.0000  2 Mg 2.64, 4 Y 2.66
La 0.5000 0.5000 0.5000  8 Y 3.75, 4 Mg 3.76

Values from the calculation:
DOS(E_F) in states/eV/f.u.: 4.74
Magnetic moment in μB per cell: 0.03
Energy of formation from the pure elements in eV/atom: -0.26
SG: P4/mmm (123)
Polymorph energy (0 for the lowest one) in meV per atom: 0

=====

A plane-wave DFT calculation with PBE-GGA was carried out for a geometry-optimized Tm3Al12Ru4 structure.

Cell: 8.7546 8.7546 9.5641 Å, 90.00 90.00 120.00°
Closest atoms and distances in Å follow each position.
Element x y z (fractional)
Tm 0.1946 0.8054 0.2500  11 Al 2.95-3.20
Tm 0.6109 0.8054 0.2500  11 Al 2.95-3.20
Tm 0.1946 0.3891 0.2500  11 Al 2.95-3.20
Tm 0.3891 0.1946 0.7500  11 Al 2.95-3.20
Tm 0.8054 0.1946 0.7500  11 Al 2.95-3.20
Tm 0.8054 0.6109 0.7500  11 Al 2.95-3.20
Al 0.6667 0.3333 0.9818  3 Ru 2.53, 3 Al 2.75
Al 0.3333 0.6667 0.4818  3 Ru 2.53, 3 Al 2.75
Al 0.1627 0.3254 0.9222  3 Ru 2.58-2.66, 5 Al 2.75-2.88
Al 0.0000 0.0000 0.2500  2 Ru 2.39
Al 0.1627 0.8373 0.9222  3 Ru 2.58-2.66, 5 Al 2.75-2.88
Al 0.6746 0.8373 0.5778  3 Ru 2.58-2.66, 5 Al 2.75-2.88
Al 0.0000 0.0000 0.7500  2 Ru 2.39
Al 0.5615 0.1229 0.2500  2 Ru 2.57, 6 Al 2.76-2.80
Al 0.8373 0.6746 0.4222  3 Ru 2.58-2.66, 5 Al 2.75-2.88
Al 0.1627 0.3254 0.5778  3 Ru 2.58-2.66, 5 Al 2.75-2.88
Al 0.6746 0.8373 0.9222  3 Ru 2.58-2.66, 5 Al 2.75-2.88
Al 0.8373 0.1627 0.0778  3 Ru 2.58-2.66, 5 Al 2.75-2.88
Al 0.1229 0.5615 0.7500  2 Ru 2.57, 6 Al 2.76-2.80
Al 0.5615 0.4385 0.2500  2 Ru 2.57, 6 Al 2.76-2.80
Al 0.1627 0.8373 0.5778  3 Ru 2.58-2.66, 5 Al 2.75-2.88
Al 0.4385 0.8771 0.7500  2 Ru 2.57, 6 Al 2.76-2.80
Al 0.3254 0.1627 0.4222  3 Ru 2.58-2.66, 5 Al 2.75-2.88
Al 0.3254 0.1627 0.0778  3 Ru 2.58-2.66, 5 Al 2.75-2.88
Al 0.8771 0.4385 0.2500  2 Ru 2.57, 6 Al 2.76-2.80
Al 0.3333 0.6667 0.0182  3 Ru 2.53, 3 Al 2.75
Al 0.8373 0.6746 0.0778  3 Ru 2.58-2.66, 5 Al 2.75-2.88
Al 0.4385 0.5615 0.7500  2 Ru 2.57, 6 Al 2.76-2.80
Al 0.6667 0.3333 0.5182  3 Ru 2.53, 3 Al 2.75
Al 0.8373 0.1627 0.4222  3 Ru 2.58-2.66, 5 Al 2.75-2.88
Ru 0.5000 0.0000 0.5000  8 Al 2.53-2.66
Ru 0.5000 0.0000 0.0000  8 Al 2.53-2.66
Ru 0.0000 0.5000 0.0000  8 Al 2.53-2.66
Ru 0.0000 0.0000 0.5000  8 Al 2.39-2.58
Ru 0.5000 0.5000 0.0000  8 Al 2.53-2.66
Ru 0.0000 0.5000 0.5000  8 Al 2.53-2.66
Ru 0.0000 0.0000 0.0000  8 Al 2.39-2.58
Ru 0.5000 0.5000 0.5000  8 Al 2.53-2.66

Values from the calculation:
DOS(E_F) in states/eV/f.u.: 10.86
Magnetic moment in μB per cell: 0.00
Energy of formation from the pure elements in eV/atom: -0.66
SG: P6_3/mmc (194)

=====

A plane-wave DFT calculation with PBE-GGA was carried out for a geometry-optimized LaPm2Sm2Dy2 structure.

Cell: 3.5695 6.1762 12.0439 Å, 71.29 90.00 106.80°
Closest atoms and distances in Å follow each position.
Element x y z (fractional)
Pm 0.5541 0.1082 0.2272  4 Sm 3.51-3.64, 3 Dy 3.52-3.60, 2 Pm 3.57, 2 La 3.60
Pm 0.4459 0.8918 0.7728  4 Sm 3.51-3.64, 3 Dy 3.52-3.60, 2 Pm 3.57, 2 La 3.60
Dy 0.7773 0.5546 0.3603  3 Pm 3.52-3.60, 3 La 3.57-3.62, 4 Dy 3.57-3.67, 2 Sm 3.66
Dy 0.2227 0.4454 0.6397  3 Pm 3.52-3.60, 3 La 3.57-3.62, 4 Dy 3.57-3.67, 2 Sm 3.66
Sm 0.6673 0.3346 0.9183  4 Pm 3.51-3.64, 5 Sm 3.57-3.78, 2 Dy 3.66
Sm 0.3327 0.6654 0.0817  4 Pm 3.51-3.64, 5 Sm 3.57-3.78, 2 Dy 3.66
La 0.0000 0.0000 0.5000  6 Dy 3.57-3.62, 2 La 3.57, 4 Pm 3.60

Values from the calculation:
DOS(E_F) in states/eV/f.u.: 12.25
Magnetic moment in μB per cell: 0.00
Energy of formation from the pure elements in eV/atom: 0.09
SG: C2/m (12)

=====

A plane-wave DFT calculation with PBE-GGA was carried out for a geometry-optimized Sm2BiBr2 structure.

Cell: 4.3765 4.3765 11.1140 Å, 78.64 78.64 60.00°
Closest atoms and distances in Å follow each position.
Element x y z (fractional)
Br 0.7760 0.7760 0.6719  3 Sm 3.05
Br 0.2240 0.2240 0.3281  3 Sm 3.05
Bi 0.0000 0.0000 0.0000  6 Sm 3.12
Sm 0.6101 0.6101 0.1698  3 Br 3.05, 3 Bi 3.12
Sm 0.3899 0.3899 0.8302  3 Br 3.05, 3 Bi 3.12

Values from the calculation:
DOS(E_F) in states/eV/f.u.: 2.09
Magnetic moment in μB per cell: 0.00
SG: R-3m (166)
Uncorrected formation energy in eV/atom: -1.369

=====

A plane-wave DFT calculation with PBE-GGA was carried out for a geometry-optimized Tl2Re structure.

Cell: 8.5803 8.5803 3.0304 Å, 90.00 90.00 120.00°
Closest atoms and distances in Å follow each position.
Element x y z (fractional)
Tl 0.3971 0.3971 0.5000  8 Tl 3.03-3.39, 4 Re 3.03
Tl 0.2791 0.0000 0.0000  4 Re 2.83-3.12, 4 Tl 3.03-3.16
Tl 0.0000 0.2791 0.0000  4 Re 2.83-3.12, 4 Tl 3.03-3.16
Tl 0.6029 0.0000 0.5000  8 Tl 3.03-3.39, 4 Re 3.03
Tl 0.7209 0.7209 0.0000  4 Re 2.83-3.12, 4 Tl 3.03-3.16
Tl 0.0000 0.6029 0.5000  8 Tl 3.03-3.39, 4 Re 3.03
Re 0.0000 0.0000 0.5000  6 Tl 2.83, 2 Re 3.03
Re 0.3333 0.6667 0.0000  2 Re 3.03, 9 Tl 3.03-3.12
Re 0.6667 0.3333 0.0000  2 Re 3.03, 9 Tl 3.03-3.12

Values from the calculation:
DOS(E_F) in states/eV/f.u.: 1.41
Magnetic moment in μB per cell: 0.00
Energy of formation from the pure elements in eV/atom: 1.10
SG: P-62m (189)
Polymorph energy (0 for the lowest one) in meV per atom: 530

=====

A plane-wave DFT calculation with PBE-GGA was carried out for a geometry-optimized ScGaTc3 structure.

Cell: 4.6040 4.6040 4.6040 Å, 90.00 90.00 90.00°
Closest atoms and distances in Å follow each position.
Element x y z (fractional)
Tc 0.5000 0.0000 0.0000  2 Sc 2.30
Tc 0.0000 0.5000 0.0000  2 Sc 2.30
Tc 0.0000 0.0000 0.5000  2 Sc 2.30
Sc 0.0000 0.0000 0.0000  6 Tc 2.30
Ga 0.5000 0.5000 0.5000  12 Tc 3.26

Values from the calculation:
DOS(E_F) in states/eV/f.u.: 4.87
Magnetic moment in μB per cell: 2.76
Energy of formation from the pure elements in eV/atom: 1.73
SG: Pm-3m (221)
Polymorph energy (0 for the lowest one) in meV per atom: 721